AlZn2Sb: optimized geometry, PBE.

Geometry as POSCAR:
```
AlZn2Sb
1.0
3.032 0.000 0.000
0.000 3.032 0.000
0.000 0.000 8.420
Al Zn Sb
1 2 1
Direct
0.000 0.000 0.000
0.000 0.000 0.584
0.500 0.500 0.788
0.500 0.500 0.285
```

Properties
Formation energy from raw total energies = 151 meV/atom
E = -9.81 eV for the cell shown
Total magnetization = 0.0 μB/f.u.
Crystal system = tetragonal
D(E_F) = 0.78 states/eV/cell
Polymorph energy (0 for the lowest one) = 0.12 eV/f.u.

AlZn2Sb: optimized geometry, PBE.

Geometry as POSCAR:
```
AlZn2Sb
1.0
3.011 -4.161 0.000
3.011 4.161 0.000
0.000 0.000 3.133
Al Zn Sb
1 2 1
Direct
0.000 0.000 0.000
0.000 0.500 0.500
0.500 0.000 0.500
0.500 0.500 0.000
```

Properties
Formation energy from raw total energies = 180 meV/atom
E = -9.69 eV for the cell shown
Total magnetization = 0.0 μB/f.u.
Crystal system = orthorhombic
D(E_F) = 1.00 states/eV/cell
Polymorph energy (0 for the lowest one) = 0.23 eV/f.u.

Al2ZnSb: optimized geometry, PBE.

Geometry as POSCAR:
```
Al2ZnSb
1.0
2.174 -2.250 0.000
2.174 2.250 0.000
0.000 0.000 8.048
Al Zn Sb
2 1 1
Direct
0.000 0.000 0.000
0.500 0.500 0.218
0.500 0.500 0.792
0.000 0.000 0.504
```

Properties
Formation energy from raw total energies = 163 meV/atom
E = -12.23 eV for the cell shown
Total magnetization = 0.0 μB/f.u.
Crystal system = orthorhombic
D(E_F) = 1.07 states/eV/cell
Polymorph energy (0 for the lowest one) = 0.09 eV/f.u.

Al2ZnSb: optimized geometry, PBE.

Geometry as POSCAR:
```
Al2ZnSb
1.0
3.090 0.000 0.000
0.000 3.898 0.000
-1.498 0.000 6.679
Al Zn Sb
2 1 1
Direct
0.000 0.000 0.000
0.402 0.500 0.798
0.800 0.000 0.588
0.169 0.500 0.334
```

Properties
Formation energy from raw total energies = 140 meV/atom
E = -12.32 eV for the cell shown
Total magnetization = 0.0 μB/f.u.
Crystal system = monoclinic
D(E_F) = 1.17 states/eV/cell
Polymorph energy (0 for the lowest one) = 0.00 eV/f.u.

AlZnSb: optimized geometry, PBE.

Geometry as POSCAR:
```
AlZnSb
1.0
-1.558 1.959 5.043
1.558 -1.959 5.043
1.558 1.959 -5.043
Al Zn Sb
1 1 1
Direct
0.000 0.000 0.000
0.375 0.375 0.000
0.687 0.687 0.000
```

Properties
Formation energy from raw total energies = 201 meV/atom
E = -8.54 eV for the cell shown
Total magnetization = 0.0 μB/f.u.
Crystal system = orthorhombic
D(E_F) = 1.10 states/eV/cell
Polymorph energy (0 for the lowest one) = 0.25 eV/f.u.

AlZn2Sb: optimized geometry, PBE.

Geometry as POSCAR:
```
AlZn2Sb
1.0
1.638 0.946 8.554
-1.638 0.946 8.554
0.000 -1.891 8.554
Al Zn Sb
1 2 1
Direct
0.000 0.000 0.000
0.258 0.258 0.258
0.742 0.742 0.742
0.500 0.500 0.500
```

Properties
Formation energy from raw total energies = 171 meV/atom
E = -9.73 eV for the cell shown
Total magnetization = 0.0 μB/f.u.
Crystal system = trigonal
D(E_F) = 1.65 states/eV/cell
Polymorph energy (0 for the lowest one) = 0.20 eV/f.u.

Al2ZnSb: optimized geometry, PBE.

Geometry as POSCAR:
```
Al2ZnSb
1.0
-2.131 2.131 4.370
2.131 -2.131 4.370
2.131 2.131 -4.370
Al Zn Sb
2 1 1
Direct
0.250 0.750 0.500
0.750 0.250 0.500
0.000 0.000 0.000
0.500 0.500 0.000
```

Properties
Formation energy from raw total energies = 205 meV/atom
E = -12.06 eV for the cell shown
Total magnetization = 0.0 μB/f.u.
Crystal system = tetragonal
D(E_F) = 1.59 states/eV/cell
Polymorph energy (0 for the lowest one) = 0.26 eV/f.u.

AlZn2Sb: optimized geometry, PBE.

Geometry as POSCAR:
```
AlZn2Sb
1.0
0.000 3.447 3.447
3.447 0.000 3.447
3.447 3.447 0.000
Al Zn Sb
1 2 1
Direct
0.000 0.000 0.000
0.500 0.500 0.500
0.750 0.750 0.750
0.250 0.250 0.250
```

Properties
Formation energy from raw total energies = 223 meV/atom
E = -9.52 eV for the cell shown
Total magnetization = 0.0 μB/f.u.
Crystal system = cubic
D(E_F) = 2.11 states/eV/cell
Polymorph energy (0 for the lowest one) = 0.41 eV/f.u.

AlZn2Sb: optimized geometry, PBE.

Geometry as POSCAR:
```
AlZn2Sb
1.0
3.015 0.000 0.000
0.000 4.004 0.000
-0.801 0.000 6.622
Al Zn Sb
1 2 1
Direct
0.000 0.000 0.000
0.479 0.500 0.803
0.521 0.500 0.197
0.500 0.000 0.500
```

Properties
Formation energy from raw total energies = 142 meV/atom
E = -9.85 eV for the cell shown
Total magnetization = 0.0 μB/f.u.
Crystal system = monoclinic
D(E_F) = 1.52 states/eV/cell
Polymorph energy (0 for the lowest one) = 0.08 eV/f.u.

AlZn2Sb: optimized geometry, PBE.

Geometry as POSCAR:
```
AlZn2Sb
1.0
2.838 -4.872 0.000
2.838 4.872 0.000
-2.729 0.000 2.952
Al Zn Sb
1 2 1
Direct
0.000 0.000 0.000
0.000 0.500 0.500
0.500 0.000 0.500
0.500 0.500 0.000
```

Properties
Formation energy from raw total energies = 158 meV/atom
E = -9.78 eV for the cell shown
Total magnetization = 0.0 μB/f.u.
Crystal system = monoclinic
D(E_F) = 0.99 states/eV/cell
Polymorph energy (0 for the lowest one) = 0.15 eV/f.u.

AlZn2Sb: optimized geometry, PBE.

Geometry as POSCAR:
```
AlZn2Sb
1.0
0.000 3.431 3.431
3.431 0.000 3.431
3.431 3.431 0.000
Al Zn Sb
1 2 1
Direct
0.000 0.000 0.000
0.250 0.250 0.250
0.750 0.750 0.750
0.500 0.500 0.500
```

Properties
Formation energy from raw total energies = 231 meV/atom
E = -9.49 eV for the cell shown
Total magnetization = 0.0 μB/f.u.
Crystal system = cubic
D(E_F) = 2.07 states/eV/cell
Polymorph energy (0 for the lowest one) = 0.44 eV/f.u.

AlZnSb: optimized geometry, PBE.

Geometry as POSCAR:
```
AlZnSb
1.0
0.000 3.274 3.274
3.274 0.000 3.274
3.274 3.274 0.000
Al Zn Sb
1 1 1
Direct
0.000 0.000 0.000
0.750 0.750 0.750
0.250 0.250 0.250
```

Properties
Formation energy from raw total energies = 118 meV/atom
E = -8.78 eV for the cell shown
Total magnetization = 0.0 μB/f.u.
Crystal system = cubic
D(E_F) = 0.20 states/eV/cell
Polymorph energy (0 for the lowest one) = 0.00 eV/f.u.